Entry 1:
! Fe2HgPd8, relaxed, DFT PBE; values from VASP
&SYSTEM
  ibrav = 0, nat = 11, ntyp = 3
/
ATOMIC_SPECIES
Fe 55.84 Fe.upf
Hg 200.59 Hg.upf
Pd 106.42 Pd.upf
ATOMIC_POSITIONS crystal
Fe 0.225 0.225 0.152
Fe 0.775 0.775 0.848
Hg 0.500 0.500 0.500
Pd 0.047 0.047 0.223
Pd 0.149 0.149 0.711
Pd 0.317 0.317 0.584
Pd 0.398 0.398 0.032
Pd 0.602 0.602 0.968
Pd 0.683 0.683 0.416
Pd 0.851 0.851 0.289
Pd 0.953 0.953 0.777
CELL_PARAMETERS angstrom
7.053 -1.988 0.000
7.053 1.988 0.000
-1.781 0.000 6.046
! - ΔE to the lowest computed polymorph: 0 meV per atom


Entry 2:
First-principles (PBE) data for a relaxed structure of SmPPd, as listed in the Alexandria database. Values from VASP.

Geometry as Quantum ESPRESSO input:
```
&SYSTEM
  ibrav = 0, nat = 3, ntyp = 3
/
ATOMIC_SPECIES
Sm 150.36 Sm.upf
P 30.97 P.upf
Pd 106.42 Pd.upf
ATOMIC_POSITIONS crystal
Sm 0.000 0.000 0.000
P 0.348 0.348 0.000
Pd 0.645 0.645 0.000
CELL_PARAMETERS angstrom
-1.975 1.975 4.066
1.975 -1.975 4.066
1.975 1.975 -4.066
```


Entry 3:
! RbHg3Au, relaxed, DFT PBE; values from VASP
&SYSTEM
  ibrav = 0, nat = 5, ntyp = 3
/
ATOMIC_SPECIES
Rb 85.47 Rb.upf
Hg 200.59 Hg.upf
Au 196.97 Au.upf
ATOMIC_POSITIONS crystal
Rb 0.000 0.000 0.000
Hg 0.000 0.000 0.500
Hg 0.000 0.500 0.000
Hg 0.500 0.000 0.000
Au 0.500 0.500 0.500
CELL_PARAMETERS angstrom
6.715 0.000 0.000
0.000 6.715 0.000
0.000 0.000 6.715
! - ΔE to the lowest computed polymorph: 562 meV per atom


| no. | energy of formation from the pure elements (eV/atom) |
| --- | --- |
| 1 | -0.102 |
| 2 | -0.747 |
| 3 | 0.356 |